A relaxed Sr2CaAg crystal. Source: Alexandria, functional PBE.

Total DFT energy (no corrections)   -2.1114 eV per atom
Distance to the lowest polymorph of the same formula   115.6 meV/atom
Symmetry   No. 160
Magnetization   0.00 μB/f.u.
V   43.2 Å³ per atom

Cell: 4.305 4.305 11.043 Å, 78.76 78.76 60.00°
Positions (direct):
Sr (0.063, 0.063, 0.811)
Sr (0.270, 0.270, 0.189)
Ca (0.500, 0.500, 0.499)
Ag (0.666, 0.666, 0.001)


A relaxed Sr2Ca4Ag crystal. Source: Alexandria, functional PBE.

Total DFT energy (no corrections)   -1.9544 eV per atom
Symmetry   No. 139
Magnetization   0.00 μB/f.u.
V   46.6 Å³ per atom

Cell: 5.757 5.757 10.659 Å, 74.33 74.33 90.00°
Positions (direct):
Sr (0.652, 0.652, 0.696)
Sr (0.348, 0.348, 0.304)
Ca (0.849, 0.849, 0.302)
Ca (0.151, 0.151, 0.698)
Ca (0.000, 0.500, 0.000)
Ca (0.500, 0.000, 0.000)
Ag (0.000, 0.000, 0.000)


A relaxed SrCa4Ag crystal. Source: Alexandria, functional PBE.

Total DFT energy (no corrections)   -1.8362 eV per atom
Distance to the lowest polymorph of the same formula   331.5 meV/atom
Symmetry   No. 216
Magnetization   0.00 μB/f.u.
V   42.0 Å³ per atom

Cell: 7.092 7.092 7.092 Å, 60.00 60.00 60.00°
Positions (direct):
Sr (0.750, 0.750, 0.750)
Ca (0.875, 0.375, 0.375)
Ca (0.375, 0.375, 0.875)
Ca (0.375, 0.875, 0.375)
Ca (0.375, 0.375, 0.375)
Ag (0.000, 0.000, 0.000)


A relaxed SrCa3Ag2 crystal. Source: Alexandria, functional PBE.

Total DFT energy (no corrections)   -2.4326 eV per atom
Symmetry   No. 12
Magnetization   0.00 μB/f.u.
V   33.7 Å³ per atom

Cell: 4.133 9.831 10.732 Å, 107.85 90.00 102.14°
Positions (direct):
Sr (0.114, 0.228, 0.136)
Sr (0.886, 0.772, 0.864)
Ca (0.685, 0.370, 0.875)
Ca (0.035, 0.071, 0.676)
Ca (0.340, 0.680, 0.509)
Ca (0.660, 0.320, 0.491)
Ca (0.965, 0.929, 0.324)
Ca (0.315, 0.630, 0.125)
Ag (0.524, 0.049, 0.884)
Ag (0.476, 0.951, 0.116)
Ag (0.241, 0.481, 0.714)
Ag (0.759, 0.519, 0.286)


A relaxed SrCa2Ag crystal. Source: Alexandria, functional PBE.

Total DFT energy (no corrections)   -2.1172 eV per atom
Distance to the lowest polymorph of the same formula   201.3 meV/atom
Symmetry   No. 139
Magnetization   0.00 μB/f.u.
V   35.8 Å³ per atom

Cell: 6.778 6.778 6.778 Å, 137.01 137.01 62.42°
Positions (direct):
Sr (0.250, 0.750, 0.500)
Ca (0.000, 0.000, 0.000)
Ca (0.500, 0.500, 0.000)
Ag (0.750, 0.250, 0.500)


A relaxed Sr5CaAg6 crystal. Source: Alexandria, functional PBE.

Total DFT energy (no corrections)   -2.5636 eV per atom
Symmetry   No. 71
Magnetization   0.00 μB/f.u.
V   29.6 Å³ per atom

Cell: 5.497 7.829 9.534 Å, 65.76 73.20 90.00°
Positions (direct):
Sr (0.668, 0.168, 0.664)
Sr (0.335, 0.335, 0.331)
Sr (0.000, 0.500, 0.000)
Sr (0.665, 0.665, 0.669)
Sr (0.332, 0.832, 0.336)
Ca (0.000, 0.000, 0.000)
Ag (0.837, 0.597, 0.324)
Ag (0.837, 0.080, 0.324)
Ag (0.500, 0.764, 0.000)
Ag (0.500, 0.236, 0.000)
Ag (0.163, 0.920, 0.676)
Ag (0.163, 0.403, 0.676)